TlH3N: optimized geometry, PBE.

**Total magnetic moment**: 0.0 μB/cell
**Energy relative to the lowest polymorph listed for this composition**: 0.000 eV per atom

Cell lengths 3.264, 8.039, 8.434 Å; angles 137.47, 87.10, 88.61 degrees
Fractional positions:
Tl1 0.321 0.333 0.631
Tl2 0.838 0.898 0.084
H1 0.861 0.574 0.309
H2 0.538 0.468 0.113
H3 0.290 0.871 0.566
H4 0.879 0.075 0.720
H5 0.220 0.075 0.856
H6 0.535 0.380 0.239
N1 0.190 0.053 0.721
N2 0.563 0.529 0.270